Here is a geometry-optimized Ca2NiN2 structure from the Alexandria database. Energies are from PBE-GGA.

Computed properties:
theoretical density	3613	kg/m³
E_tot	-0.21660	hartree per atom
raw formation energy	-607	meV per atom

abc: 5.932 5.932 6.844
angles: 60.52 60.52 49.23
Positions (direct):
Ca  0.319  0.319  0.591
Ca  0.681  0.681  0.409
Ca  0.954  0.954  0.771
Ca  0.046  0.046  0.229
Ni  0.625  0.625  0.873
Ni  0.375  0.375  0.127
N  0.814  0.814  0.605
N  0.186  0.186  0.395
N  0.528  0.528  0.192
N  0.472  0.472  0.808



Here is a geometry-optimized LaCePrTm structure from the Alexandria database. Energies are from PBE-GGA.

Computed properties:
theoretical density	7169	kg/m³
E_tot	-0.17757	hartree per atom
energy of formation from the pure elements	0.20	eV/atom

abc: 5.778 5.778 5.778
angles: 60.00 60.00 60.00
Positions (direct):
Pr  0.750  0.750  0.750
Tm  0.500  0.500  0.500
Ce  0.000  0.000  0.000
La  0.250  0.250  0.250



Here is a geometry-optimized Tc2PBr structure from the Alexandria database. Energies are from PBE-GGA.

Computed properties:
energy above the most stable polymorph in this dataset	561	meV/atom
theoretical density	6349	kg/m³
E_tot	-0.23723	hartree per atom
raw formation energy	498	meV per atom

abc: 5.262 5.262 6.888
angles: 67.54 67.54 90.00
Positions (direct):
P  0.500  0.500  0.000
P  0.250  0.750  0.500
Tc  0.591  0.125  0.250
Tc  0.159  0.625  0.250
Tc  0.375  0.409  0.750
Tc  0.875  0.841  0.750
Br  0.000  0.000  0.000
Br  0.750  0.250  0.500



Here is a geometry-optimized Ho2TiZnO6 structure from the Alexandria database. Energies are from PBE-GGA.

Computed properties:
theoretical density	6742	kg/m³
E_tot	-0.28114	hartree per atom
raw formation energy	-2843	meV per atom

abc: 4.971 5.168 5.168
angles: 90.00 90.00 90.00
Positions (direct):
Ho  0.991  0.500  0.000
Ho  0.991  0.000  0.500
Ti  0.589  0.000  0.000
Zn  0.555  0.500  0.500
O  0.733  0.243  0.243
O  0.733  0.243  0.757
O  0.170  0.500  0.500
O  0.218  0.000  0.000
O  0.733  0.757  0.757
O  0.733  0.757  0.243



Here is a geometry-optimized HoTlO2 structure from the Alexandria database. Energies are from PBE-GGA.

Computed properties:
energy above the most stable polymorph in this dataset	502	meV/atom
theoretical density	10709	kg/m³
E_tot	-0.22396	hartree per atom
raw formation energy	-1879	meV per atom

abc: 3.031 3.031 6.774
angles: 90.00 90.00 90.00
Positions (direct):
Tl  0.500  0.500  0.500
Ho  0.500  0.500  0.000
O  0.000  0.000  0.821
O  0.000  0.000  0.179



Here is a geometry-optimized Ce2SbI structure from the Alexandria database. Energies are from PBE-GGA.

Computed properties:
theoretical density	7471	kg/m³
E_tot	-0.19320	hartree per atom
raw formation energy	-872	meV per atom

abc: 5.499 5.499 5.499
angles: 60.00 60.00 60.00
Positions (direct):
I  0.000  0.000  0.000
Sb  0.500  0.500  0.500
Ce  0.250  0.250  0.250
Ce  0.750  0.750  0.750



Here is a geometry-optimized Hf6ZnGa5 structure from the Alexandria database. Energies are from PBE-GGA.

Computed properties:
theoretical density	11191	kg/m³
E_tot	-0.24648	hartree per atom
energy of formation from the pure elements	-0.36	eV/atom

abc: 4.301 9.091 7.841
angles: 54.57 74.14 61.87
Positions (direct):
Hf  0.749  0.084  0.334
Hf  0.251  0.582  0.334
Hf  0.247  0.253  0.000
Hf  0.753  0.747  0.000
Hf  0.749  0.418  0.666
Hf  0.251  0.916  0.666
Zn  0.000  0.000  0.000
Ga  0.500  0.163  0.675
Ga  0.000  0.332  0.337
Ga  0.500  0.500  0.000
Ga  0.000  0.668  0.663
Ga  0.500  0.837  0.325



Here is a geometry-optimized LiTaAlOs structure from the Alexandria database. Energies are from PBE-GGA.

Computed properties:
theoretical density	11421	kg/m³
E_tot	-0.27792	hartree per atom
energy of formation from the pure elements	-0.38	eV/atom

abc: 4.367 4.367 4.367
angles: 60.00 60.00 60.00
Positions (direct):
Li  0.000  0.000  0.000
Os  0.500  0.500  0.500
Al  0.750  0.750  0.750
Ta  0.250  0.250  0.250



Here is a geometry-optimized Sr2CeBr8 structure from the Alexandria database. Energies are from PBE-GGA.

Computed properties:
theoretical density	3682	kg/m³
E_tot	-0.14165	hartree per atom
raw formation energy	-1793	meV per atom

abc: 6.847 7.978 8.596
angles: 88.40 113.47 90.00
Positions (direct):
Sr  0.139  0.454  0.278
Sr  0.861  0.546  0.722
Ce  0.000  0.000  0.000
Br  0.721  0.274  0.949
Br  0.228  0.274  0.949
Br  0.279  0.726  0.051
Br  0.689  0.418  0.379
Br  0.772  0.726  0.051
Br  0.172  0.069  0.345
Br  0.828  0.931  0.655
Br  0.311  0.582  0.621



Here is a geometry-optimized Th3CoBi structure from the Alexandria database. Energies are from PBE-GGA.

Computed properties:
energy above the most stable polymorph in this dataset	70	meV/atom
theoretical density	10660	kg/m³
E_tot	-0.25318	hartree per atom
energy of formation from the pure elements	-0.24	eV/atom

abc: 5.315 5.315 5.315
angles: 90.00 90.00 90.00
Positions (direct):
Co  0.000  0.000  0.000
Bi  0.500  0.500  0.500
Th  0.000  0.500  0.000
Th  0.000  0.000  0.500
Th  0.500  0.000  0.000



Here is a geometry-optimized K2AgBiCl structure from the Alexandria database. Energies are from PBE-GGA.

Computed properties:
energy above the most stable polymorph in this dataset	0	meV/atom
theoretical density	3210	kg/m³
E_tot	-0.09445	hartree per atom
raw formation energy	-415	meV per atom

abc: 6.588 5.131 6.588
angles: 90.00 90.00 90.00
Positions (direct):
K  0.000  0.000  0.500
K  0.500  0.000  0.000
Bi  0.000  0.500  0.000
Ag  0.000  0.000  0.000
Cl  0.500  0.500  0.500



Here is a geometry-optimized Y2CdB structure from the Alexandria database. Energies are from PBE-GGA.

Computed properties:
energy above the most stable polymorph in this dataset	14	meV/atom
theoretical density	5789	kg/m³
E_tot	-0.18252	hartree per atom
energy of formation from the pure elements	0.16	eV/atom

abc: 4.961 4.961 4.961
angles: 60.00 60.00 60.00
Positions (direct):
Y  0.250  0.250  0.250
Y  0.750  0.750  0.750
B  0.000  0.000  0.000
Cd  0.500  0.500  0.500



Here is a geometry-optimized Tb2Zn3Ag4 structure from the Alexandria database. Energies are from PBE-GGA.

Computed properties:
theoretical density	9107	kg/m³
E_tot	-0.11142	hartree per atom
energy of formation from the pure elements	-0.31	eV/atom

abc: 5.271 5.328 7.540
angles: 80.04 69.54 60.35
Positions (direct):
Tb  0.631  0.000  0.739
Tb  0.369  0.000  0.261
Zn  0.000  0.500  0.000
Zn  0.000  0.000  0.000
Zn  0.500  0.500  0.000
Ag  0.990  0.678  0.343
Ag  0.668  0.322  0.343
Ag  0.010  0.322  0.657
Ag  0.332  0.678  0.657



Here is a geometry-optimized CdGaSeBr2 structure from the Alexandria database. Energies are from PBE-GGA.

Computed properties:
energy above the most stable polymorph in this dataset	0	meV/atom
theoretical density	5100	kg/m³
E_tot	-0.08618	hartree per atom
raw formation energy	-191	meV per atom

abc: 5.131 5.131 5.206
angles: 90.00 90.00 90.00
Positions (direct):
Ga  0.000  0.000  0.000
Se  0.000  0.000  0.500
Br  0.000  0.500  0.000
Br  0.500  0.000  0.000
Cd  0.500  0.500  0.500



Here is a geometry-optimized Ba8Ag5Au structure from the Alexandria database. Energies are from PBE-GGA.

Computed properties:
theoretical density	5437	kg/m³
E_tot	-0.09643	hartree per atom
energy of formation from the pure elements	-0.27	eV/atom

abc: 8.996 8.996 8.996
angles: 109.57 109.28 109.57
Positions (direct):
Ba  0.127  0.746  0.999
Ba  0.001  0.128  0.748
Ba  0.756  0.252  0.377
Ba  0.623  0.379  0.874
Ba  0.496  0.621  0.244
Ba  0.620  0.872  0.873
Ba  0.252  0.254  0.380
Ba  0.126  0.748  0.504
Ag  0.998  0.374  0.124
Ag  0.876  0.873  0.250
Ag  0.750  0.626  0.624
Ag  0.500  0.000  0.500
Ag  0.376  0.127  0.002
Au  0.250  0.500  0.750